! Ba6SnI3Br2 | Alexandria | PBE-GGA | relaxed; values from VASP
! N(E_F)   6.4 states/eV per cell
! M_tot   0.000 μB per formula unit
! Total DFT energy (no corrections)   -3.324 eV per atom
! SG   C2/m, No. 12
! E_form (uncorrected)   -1363 meV/atom
&SYSTEM
  ibrav = 0, nat = 12, ntyp = 4
/
ATOMIC_SPECIES
Ba 137.33 Ba.upf
Br 79.90 Br.upf
I 126.90 I.upf
Sn 118.71 Sn.upf
ATOMIC_POSITIONS angstrom
Ba 4.210 2.481 6.472
Ba -1.386 2.410 1.906
Ba 0.045 4.887 6.472
Br 0.015 4.873 0.007
I 1.412 2.445 4.189
Ba 2.780 0.004 1.906
I -2.800 4.878 4.189
Ba -0.016 -0.027 6.444
I 5.625 0.013 4.189
Ba 2.841 4.918 1.935
Sn 0.000 0.000 0.000
Br 4.213 2.449 0.007
CELL_PARAMETERS angstrom
8.433 0.011 0.007
-4.205 7.310 0.007
-1.404 -2.430 8.366

! CsYF4 | Alexandria | PBE-GGA | relaxed; values from VASP
! N(E_F)   0.0 states/eV per cell
! M_tot   0.061 μB per formula unit
! Total DFT energy (no corrections)   -6.159 eV per atom
! SG   Cmcm, No. 63
! E_form (uncorrected)   -3691 meV/atom
! Polymorph energy (0 for the lowest one)   0 meV per atom
&SYSTEM
  ibrav = 0, nat = 12, ntyp = 3
/
ATOMIC_SPECIES
Y 88.91 Y.upf
F 19.00 F.upf
Cs 132.91 Cs.upf
ATOMIC_POSITIONS angstrom
Y 0.470 5.117 1.373
F 0.981 3.657 2.868
Y 4.594 1.706 6.539
F 0.000 0.000 0.000
Cs 1.856 5.117 5.427
F 2.515 1.706 7.352
F 0.981 6.576 2.868
Cs 3.207 1.706 2.486
F 0.000 3.411 0.000
F 2.549 5.117 0.561
F 4.082 3.165 5.045
F 4.082 0.246 5.045
CELL_PARAMETERS angstrom
4.220 0.000 -1.443
0.000 6.822 0.000
0.844 0.000 9.356

! Th2GaPt | Alexandria | PBE-GGA | relaxed; values from VASP
! N(E_F)   9.7 states/eV per cell
! M_tot   0.000 μB per formula unit
! Total DFT energy (no corrections)   -6.791 eV per atom
! SG   P2_1/m, No. 11
&SYSTEM
  ibrav = 0, nat = 8, ntyp = 3
/
ATOMIC_SPECIES
Pt 195.08 Pt.upf
Th 232.04 Th.upf
Ga 69.72 Ga.upf
ATOMIC_POSITIONS angstrom
Pt -5.007 -0.593 2.776
Th -5.240 -1.454 -0.456
Th -6.849 1.260 4.352
Th -2.589 -0.909 -3.655
Pt -4.431 0.945 -2.079
Ga -7.130 0.416 1.289
Ga -2.308 -0.064 -0.591
Th -4.198 1.806 1.154
CELL_PARAMETERS angstrom
-1.792 3.698 -0.855
-2.147 -2.225 -5.123
-5.500 -1.121 6.676

! Ac4AsSe3 | Alexandria | PBE-GGA | relaxed; values from VASP
! N(E_F)   3.5 states/eV per cell
! M_tot   0.000 μB per formula unit
! Total DFT energy (no corrections)   -5.749 eV per atom
! SG   Cmmm, No. 65
! E_form (uncorrected)   -1807 meV/atom
! Polymorph energy (0 for the lowest one)   0 meV per atom
&SYSTEM
  ibrav = 0, nat = 8, ntyp = 3
/
ATOMIC_SPECIES
As 74.92 As.upf
Ac 227.00 Ac.upf
Se 78.96 Se.upf
ATOMIC_POSITIONS angstrom
As -2.081 0.263 -0.788
Ac -1.615 -6.242 2.187
Ac -2.233 -5.091 -2.172
Se -1.436 -0.852 3.512
Ac -4.065 -2.635 3.487
Se 0.369 -3.273 -2.067
Ac -0.520 -2.009 0.704
Se -3.149 -3.863 0.657
CELL_PARAMETERS angstrom
-4.163 0.525 -1.575
0.738 -6.547 -4.134
-2.873 -1.704 7.024

! ReSeO4 | Alexandria | PBE-GGA | relaxed; values from VASP
! N(E_F)   3.3 states/eV per cell
! M_tot   0.000 μB per formula unit
! Total DFT energy (no corrections)   -6.846 eV per atom
! SG   I-4, No. 82
! E_form (uncorrected)   -885 meV/atom
&SYSTEM
  ibrav = 0, nat = 6, ntyp = 3
/
ATOMIC_SPECIES
Re 186.21 Re.upf
Se 78.96 Se.upf
O 16.00 O.upf
ATOMIC_POSITIONS angstrom
Re 3.341 3.341 0.000
Se 3.341 0.000 1.213
O 4.024 2.046 1.031
O 1.295 0.683 1.394
O -1.295 -0.683 1.394
O 2.658 4.636 1.031
CELL_PARAMETERS angstrom
6.681 0.000 0.000
0.000 6.681 0.000
-3.341 -3.341 2.426

! Ti2NbOs | Alexandria | PBE-GGA | relaxed; values from VASP
! N(E_F)   6.7 states/eV per cell
! M_tot   0.000 μB per formula unit
! Total DFT energy (no corrections)   -9.569 eV per atom
! SG   P4/mmm, No. 123
&SYSTEM
  ibrav = 0, nat = 4, ntyp = 3
/
ATOMIC_SPECIES
Ti 47.87 Ti.upf
Os 190.23 Os.upf
Nb 92.91 Nb.upf
ATOMIC_POSITIONS angstrom
Ti 0.000 2.250 0.000
Os 1.570 2.250 2.250
Nb 1.570 0.000 0.000
Ti 0.000 0.000 2.250
CELL_PARAMETERS angstrom
3.140 0.000 0.000
0.000 4.500 0.000
0.000 0.000 4.500

! Nd7Sm12Tm | Alexandria | PBE-GGA | relaxed; values from VASP
! N(E_F)   27.6 states/eV per cell
! M_tot   0.000 μB per formula unit
! Total DFT energy (no corrections)   -4.113 eV per atom
! SG   Im-3m, No. 229
! Polymorph energy (0 for the lowest one)   387 meV per atom
&SYSTEM
  ibrav = 0, nat = 20, ntyp = 3
/
ATOMIC_SPECIES
Nd 144.24 Nd.upf
Sm 150.36 Sm.upf
Tm 168.93 Tm.upf
ATOMIC_POSITIONS angstrom
Nd -2.354 4.077 3.329
Sm 3.476 2.006 0.002
Sm 3.551 6.147 0.052
Nd 0.000 0.000 4.993
Tm 0.000 0.000 0.000
Sm 2.317 0.002 6.710
Nd 2.354 4.077 -3.329
Sm 1.232 6.149 3.327
Sm -1.233 6.147 6.656
Sm 1.157 2.008 3.277
Sm 2.391 8.152 -3.381
Nd 4.708 0.000 3.329
Sm 5.941 2.008 -3.327
Nd 4.708 0.000 -1.664
Sm 8.255 2.006 3.381
Nd 2.354 4.077 1.664
Sm -3.548 6.149 -0.052
Sm 4.707 4.141 3.331
Nd -2.354 4.077 -1.664
Sm 0.001 4.013 -0.002
CELL_PARAMETERS angstrom
9.416 0.000 -3.329
-4.708 8.154 -3.329
0.000 0.000 9.987

! In4HgBi4 | Alexandria | PBE-GGA | relaxed; values from VASP
! N(E_F)   5.2 states/eV per cell
! M_tot   0.000 μB per formula unit
! Total DFT energy (no corrections)   -2.912 eV per atom
! SG   I4/m, No. 87
&SYSTEM
  ibrav = 0, nat = 9, ntyp = 3
/
ATOMIC_SPECIES
In 114.82 In.upf
Bi 208.98 Bi.upf
Hg 200.59 Hg.upf
ATOMIC_POSITIONS angstrom
In 0.890 1.386 8.389
Bi 2.402 1.299 3.379
Hg 3.136 3.897 0.947
Bi 3.725 1.357 6.553
In 4.502 3.876 3.982
Bi 3.709 6.495 6.608
In 5.221 6.408 1.598
In 1.609 3.918 6.005
Bi 2.386 6.438 3.434
CELL_PARAMETERS angstrom
4.182 0.000 1.263
2.091 7.795 0.631
-0.162 0.000 8.093

! RbNbTeIr | Alexandria | PBE-GGA | relaxed; values from VASP
! N(E_F)   13.9 states/eV per cell
! M_tot   0.000 μB per formula unit
! Total DFT energy (no corrections)   -5.847 eV per atom
! SG   R3m, No. 160
! E_form (uncorrected)   -87 meV/atom
! Polymorph energy (0 for the lowest one)   18 meV per atom
&SYSTEM
  ibrav = 0, nat = 12, ntyp = 4
/
ATOMIC_SPECIES
Te 127.60 Te.upf
Rb 85.47 Rb.upf
Nb 92.91 Nb.upf
Ir 192.22 Ir.upf
ATOMIC_POSITIONS angstrom
Te -18.282 8.450 9.587
Rb -7.935 2.940 1.894
Nb -10.407 3.676 5.451
Ir -8.619 5.225 4.526
Te -12.223 5.539 4.146
Ir -3.094 -0.756 1.612
Ir -16.536 8.154 6.411
Nb -4.347 0.765 0.010
Rb -13.994 5.851 7.335
Te -4.306 2.610 2.261
Rb -0.018 0.011 0.010
Nb -15.932 9.657 8.366
CELL_PARAMETERS angstrom
-1.857 0.018 -3.556
-0.534 -3.070 2.526
-19.501 11.821 10.240

! TmPPd | Alexandria | PBE-GGA | relaxed; values from VASP
! N(E_F)   0.0 states/eV per cell
! M_tot   0.000 μB per formula unit
! Total DFT energy (no corrections)   -6.296 eV per atom
! SG   Pnma, No. 62
&SYSTEM
  ibrav = 0, nat = 12, ntyp = 3
/
ATOMIC_SPECIES
P 30.97 P.upf
Pd 106.42 Pd.upf
Tm 168.93 Tm.upf
ATOMIC_POSITIONS angstrom
P -8.431 -2.001 2.400
P -5.930 -0.404 -0.769
P -4.680 -1.300 3.371
Pd -6.659 -0.350 1.671
Tm -6.030 -3.321 1.814
Tm -4.580 1.617 0.789
Tm -8.325 -1.860 -0.482
Pd -5.278 1.544 -2.244
Tm -2.285 0.156 3.084
Pd -5.332 -3.249 4.846
P -2.179 0.297 0.202
Pd -3.951 -1.354 0.931
CELL_PARAMETERS angstrom
-1.200 2.529 2.811
-5.563 1.478 -3.705
-3.847 -5.711 3.497

! ZrCu2AgOs | Alexandria | PBE-GGA | relaxed; values from VASP
! N(E_F)   4.1 states/eV per cell
! M_tot   0.481 μB per formula unit
! Total DFT energy (no corrections)   -4.653 eV per atom
! SG   P4/mmm, No. 123
&SYSTEM
  ibrav = 0, nat = 5, ntyp = 4
/
ATOMIC_SPECIES
Os 190.23 Os.upf
Zr 91.22 Zr.upf
Ag 107.87 Ag.upf
Cu 63.55 Cu.upf
ATOMIC_POSITIONS angstrom
Os 0.598 0.066 4.024
Zr 1.024 -1.800 1.510
Ag 0.000 0.000 0.000
Cu -1.646 0.305 1.480
Cu 1.219 1.561 1.034
CELL_PARAMETERS angstrom
-3.292 0.610 2.960
2.048 -3.601 3.020
2.439 3.122 2.068

! Pm12PrNd3 | Alexandria | PBE-GGA | relaxed; values from VASP
! N(E_F)   24.4 states/eV per cell
! M_tot   0.000 μB per formula unit
! Total DFT energy (no corrections)   -4.744 eV per atom
! SG   P4/mmm, No. 123
&SYSTEM
  ibrav = 0, nat = 16, ntyp = 3
/
ATOMIC_SPECIES
Pm 145.00 Pm.upf
Nd 144.24 Nd.upf
Pr 140.91 Pr.upf
ATOMIC_POSITIONS angstrom
Pm 0.000 2.587 18.093
Pm 2.587 0.000 2.591
Nd 0.000 0.000 15.512
Nd 0.000 0.000 5.172
Pm 2.587 2.587 10.342
Pm 2.587 0.000 7.757
Pm 2.587 0.000 12.928
Pm 2.587 2.587 15.510
Pr 0.000 0.000 0.000
Pm 0.000 2.587 2.591
Nd 0.000 0.000 10.342
Pm 2.587 2.587 5.174
Pm 0.000 2.587 7.757
Pm 2.587 2.587 0.000
Pm 2.587 0.000 18.093
Pm 0.000 2.587 12.928
CELL_PARAMETERS angstrom
5.174 0.000 0.000
0.000 5.174 0.000
0.000 0.000 20.685